This record from Alexandria via LeMat-Bulk describes a relaxed ErPuZnIr crystal. The functional is PBE-GGA.

Uncorrected energy in eV/cell: -30.8
Magnetization in μB/f.u.: 5.10

Lattice parameters (Å, degrees): 4.907 4.907 4.907 60.00 60.00 60.00
Last column: magnetic moment on the atom in μB.
Fractional positions:
1 Zn 0.750 0.750 0.750  0.00
2 Er 0.000 0.000 0.000  0.07
3 Pu 0.500 0.500 0.500  5.09
4 Ir 0.250 0.250 0.250  -0.24

=====

This record from Alexandria via LeMat-Bulk describes a relaxed BaRh2Cl crystal. The functional is PBE-GGA.

Energy above the lowest structure with this stoichiometry in kJ/mol of formula units: 0
Formation energy (no corrections) in kJ/mol of formula units: -121
Uncorrected energy in eV/cell: -19.7
Magnetization in μB/f.u.: 0.56

Lattice parameters (Å, degrees): 3.541 3.536 8.099 77.12 90.00 90.00
Last column: magnetic moment on the atom in μB.
Fractional positions:
1 Rh 0.500 0.220 0.189  0.27
2 Cl 0.500 0.950 0.719  0.00
3 Ba 0.000 0.565 0.493  0.00
4 Rh 0.000 0.766 0.099  0.29

=====

This record from Alexandria via LeMat-Bulk describes a relaxed Mg3Ga9Ir2 crystal. The functional is PBE-GGA.

Uncorrected energy in eV/cell: -53.2
Magnetization in μB/f.u.: 0.00

Lattice parameters (Å, degrees): 4.249 7.884 7.884 77.17 74.37 74.37
Fractional positions:
1 Ga 0.360 0.007 0.272
2 Mg 0.000 0.000 0.000
3 Ga 0.640 0.728 0.993
4 Ga 0.141 0.573 0.146
5 Mg 0.293 0.707 0.707
6 Mg 0.707 0.293 0.293
7 Ir 0.500 0.345 0.655
8 Ir 0.500 0.655 0.345
9 Ga 0.141 0.146 0.573
10 Ga 0.859 0.427 0.854
11 Ga 0.640 0.993 0.728
12 Ga 0.859 0.854 0.427
13 Ga 0.360 0.272 0.007
14 Ga 0.000 0.500 0.500

=====

This record from Alexandria via LeMat-Bulk describes a relaxed Ac12Dy3In5 crystal. The functional is PBE-GGA.

Uncorrected energy in eV/cell: -274.0
Magnetization in μB/f.u.: 0.89

Lattice parameters (Å, degrees): 17.167 17.167 17.167 109.47 109.47 109.47
Last column: magnetic moment on the atom in μB.
Fractional positions:
1 In 0.625 0.750 0.875  0.00
2 In 0.000 0.500 0.500  -0.01
3 In 0.500 0.000 0.500  -0.01
4 Ac 0.053 0.428 0.832  0.02
5 Ac 0.928 0.096 0.875  0.02
6 Ac 0.447 0.779 0.875  0.02
7 Ac 0.125 0.721 0.553  0.02
8 Ac 0.375 0.947 0.779  0.02
9 Ac 0.375 0.428 0.096  0.02
10 Ac 0.553 0.332 0.928  0.02
11 Ac 0.875 0.279 0.447  0.02
12 Ac 0.779 0.447 0.375  0.02
13 In 0.500 0.000 0.000  -0.01
14 Ac 0.221 0.553 0.625  0.02
15 In 0.000 0.000 0.500  -0.01
16 Ac 0.404 0.279 0.332  0.02
17 In 0.500 0.500 0.000  -0.01
18 Dy 0.125 0.875 0.750  0.08
19 Ac 0.596 0.721 0.668  0.02
20 Ac 0.832 0.928 0.053  0.02
21 In 0.500 0.500 0.500  -0.01
22 Ac 0.668 0.221 0.596  0.02
23 Ac 0.572 0.625 0.404  0.02
24 In 0.875 0.625 0.750  0.00
25 Ac 0.447 0.668 0.072  0.02
26 In 0.250 0.375 0.625  0.00
27 Ac 0.096 0.168 0.221  0.02
28 Dy 0.625 0.375 0.750  0.08
29 Ac 0.428 0.375 0.596  0.02
30 Dy 0.125 0.250 0.875  0.08
31 Ac 0.332 0.553 0.428  0.02
32 Ac 0.596 0.875 0.428  0.02
33 In 0.750 0.625 0.375  0.00
34 Ac 0.572 0.947 0.668  0.02
35 Ac 0.928 0.832 0.553  0.02
36 Ac 0.168 0.096 0.721  0.02
37 Ac 0.904 0.832 0.779  0.02
38 Dy 0.875 0.125 0.250  0.08
39 Ac 0.832 0.904 0.279  0.02
40 Dy 0.250 0.625 0.875  0.08
41 Ac 0.625 0.053 0.221  0.02
42 In 0.625 0.875 0.250  0.00
43 In 0.125 0.750 0.375  0.00
44 Ac 0.428 0.053 0.332  0.02
45 Dy 0.375 0.750 0.625  0.08
46 In 0.375 0.125 0.750  0.00
47 Dy 0.375 0.625 0.250  0.08
48 Ac 0.779 0.332 0.904  0.02
49 Ac 0.947 0.572 0.168  0.02
50 In 0.375 0.250 0.125  0.00
51 Ac 0.721 0.596 0.168  0.02
52 Ac 0.668 0.447 0.572  0.02
53 Ac 0.625 0.572 0.904  0.02
54 Dy 0.750 0.375 0.125  0.08
55 Dy 0.750 0.875 0.625  0.08
56 In 0.000 0.000 0.000  -0.01
57 Ac 0.332 0.779 0.404  0.02
58 Ac 0.125 0.404 0.072  0.02
59 Dy 0.625 0.250 0.375  0.08
60 Ac 0.168 0.072 0.947  0.02
61 Ac 0.875 0.596 0.928  0.02
62 Ac 0.096 0.928 0.375  0.02
63 Dy 0.250 0.125 0.375  0.08
64 In 0.000 0.500 0.000  -0.01
65 Ac 0.072 0.168 0.447  0.02
66 Dy 0.875 0.750 0.125  0.08
67 In 0.125 0.375 0.250  0.00
68 Ac 0.553 0.221 0.125  0.02
69 Ac 0.947 0.375 0.279  0.02
70 Ac 0.221 0.668 0.096  0.02
71 Ac 0.279 0.404 0.832  0.02
72 Ac 0.721 0.125 0.053  0.02
73 In 0.875 0.250 0.625  0.00
74 Ac 0.053 0.625 0.721  0.02
75 Ac 0.279 0.875 0.947  0.02
76 In 0.750 0.125 0.875  0.00
77 Ac 0.404 0.125 0.572  0.02
78 In 0.250 0.875 0.125  0.00
79 Ac 0.904 0.072 0.625  0.02
80 Ac 0.072 0.904 0.125  0.02

=====

This record from Alexandria via LeMat-Bulk describes a relaxed SrCa2I6 crystal. The functional is PBE-GGA.

Formation energy (no corrections) in kJ/mol of formula units: -1403
Uncorrected energy in eV/cell: -29.5
Magnetization in μB/f.u.: 0.00

Lattice parameters (Å, degrees): 7.974 7.974 7.251 90.00 90.00 120.00
Fractional positions:
1 I 0.000 0.348 0.255
2 I 0.348 0.348 0.745
3 I 0.348 0.000 0.255
4 I 0.000 0.652 0.745
5 Ca 0.333 0.667 0.500
6 Sr 0.000 0.000 0.000
7 I 0.652 0.000 0.745
8 Ca 0.667 0.333 0.500
9 I 0.652 0.652 0.255

=====

This record from Alexandria via LeMat-Bulk describes a relaxed Ce3Tl3RhS8 crystal. The functional is PBE-GGA.

Formation energy (no corrections) in kJ/mol of formula units: -1682
Uncorrected energy in eV/cell: -82.7
Magnetization in μB/f.u.: 2.01

Lattice parameters (Å, degrees): 7.959 7.960 8.921 116.50 90.00 120.00
Last column: magnetic moment on the atom in μB.
Fractional positions:
1 S 0.789 0.027 0.316  -0.01
2 S 0.735 0.470 0.706  -0.02
3 Ce 0.500 0.000 0.500  0.63
4 S 0.239 0.027 0.316  -0.01
5 Rh 0.000 0.000 0.500  0.08
6 Ce 0.000 0.500 0.500  0.63
7 Tl 0.500 0.500 0.000  0.00
8 S 0.761 0.973 0.684  -0.01
9 Ce 0.500 0.500 0.500  0.63
10 S 0.211 0.423 0.684  -0.01
11 S 0.789 0.577 0.316  -0.01
12 S 0.265 0.530 0.294  -0.02
13 Tl 0.000 0.500 0.000  0.00
14 S 0.211 0.973 0.684  -0.01
15 Tl 0.000 0.000 0.000  0.00